1.
VASP calculation (PBE-GGA) on TlNiIr2 after structural relaxation.

## Properties
- E_form (eV/atom) = 0.460
- uncorrected energy (Ry per atom) = -0.44151
- energy above the lowest structure with this stoichiometry (meV per atom) = 104

Cell lengths 3.965, 3.965, 3.967 Å; angles 90.00, 90.00, 90.00 degrees
Space group P4/mmm (No. 123)
Unique sites:
Tl 0.000 0.000 0.000 (multiplicity 1)
Ni 0.500 0.500 0.000 (multiplicity 1)
Ir 0.000 0.500 0.500 (multiplicity 2)

---

2.
VASP calculation (PBE-GGA) on Tl2NiIr after structural relaxation.

## Properties
- E_form (eV/atom) = 0.723
- uncorrected energy (Ry per atom) = -0.30283
- energy above the lowest structure with this stoichiometry (meV per atom) = 368

Cell lengths 6.682, 6.682, 6.682 Å; angles 90.00, 90.00, 90.00 degrees
Space group F-43m (No. 216)
Unique sites:
Tl 0.000 0.000 0.000 (multiplicity 4)
Tl 0.250 0.250 0.250 (multiplicity 4)
Ni 0.250 0.250 0.750 (multiplicity 4)
Ir 0.000 0.000 0.500 (multiplicity 4)